(1)
First-principles (PBE-GGA) data for Zr3BeSi after structural relaxation, as listed in the Alexandria database. Values from VASP.

Calculated volume (Å³/atom): 20.02
Energy above the lowest structure with this stoichiometry (eV/atom): 0.0000
Crystal system: cubic

Quantum ESPRESSO input file:
```
&SYSTEM
  ibrav = 0, nat = 5, ntyp = 3
/
ATOMIC_SPECIES
Zr 91.22 Zr.upf
Be 9.01 Be.upf
Si 28.09 Si.upf
CELL_PARAMETERS angstrom
4.6432 0.0000 0.0000
0.0000 4.6432 0.0000
0.0000 0.0000 4.6432
ATOMIC_POSITIONS crystal
Zr 0.0000 0.0000 0.5000
Zr 0.0000 0.5000 0.0000
Zr 0.5000 0.0000 0.0000
Be 0.0000 0.0000 0.0000
Si 0.5000 0.5000 0.5000
```

(2)
First-principles (PBE-GGA) data for ThMgTl2Se4 after structural relaxation, as listed in the Alexandria database. Values from VASP.

Calculated volume (Å³/atom): 29.47
Crystal system: monoclinic

Quantum ESPRESSO input file:
```
&SYSTEM
  ibrav = 0, nat = 8, ntyp = 4
/
ATOMIC_SPECIES
Th 232.04 Th.upf
Mg 24.30 Mg.upf
Tl 204.38 Tl.upf
Se 78.96 Se.upf
CELL_PARAMETERS angstrom
7.1250 0.0000 0.0000
0.0000 4.2387 0.0000
-2.4871 0.0000 7.8074
ATOMIC_POSITIONS crystal
Th 0.0000 0.0000 0.0000
Mg 0.5000 0.5000 0.0000
Tl 0.0000 0.5000 0.5000
Tl 0.5000 0.0000 0.5000
Se 0.2403 0.5000 0.2087
Se 0.2762 0.0000 0.8042
Se 0.7238 0.0000 0.1958
Se 0.7597 0.5000 0.7913
```

(3)
First-principles (PBE-GGA) data for Y2HoZr after structural relaxation, as listed in the Alexandria database. Values from VASP.

Calculated volume (Å³/atom): 28.98
Energy above the lowest structure with this stoichiometry (eV/atom): 0.0183
ΔH_f (0 K) (eV per atom): 0.101
Crystal system: tetragonal

Quantum ESPRESSO input file:
```
&SYSTEM
  ibrav = 0, nat = 4, ntyp = 3
/
ATOMIC_SPECIES
Y 88.91 Y.upf
Ho 164.93 Ho.upf
Zr 91.22 Zr.upf
CELL_PARAMETERS angstrom
4.8749 0.0000 0.0000
0.0000 4.8749 0.0000
0.0000 0.0000 4.8775
ATOMIC_POSITIONS crystal
Y 0.0000 0.5000 0.0000
Y 0.5000 0.0000 0.0000
Ho 0.0000 0.0000 0.5000
Zr 0.5000 0.5000 0.5000
```

no.,final energy (eV per atom)
1,-6.8556
2,-4.5748
3,-6.4122